1.
A plane-wave DFT calculation with PBE-GGA was carried out for a relaxed CuAsOF2 crystal.

a = 4.218 Å, b = 4.218 Å, c = 3.946 Å
α = 90.00°, β = 90.00°, γ = 90.00°
Element x y z (fractional)
Cu: 0.000 0.000 0.000
As: 0.500 0.500 0.500
O: 0.500 0.500 0.000
F: 0.000 0.500 0.500
F: 0.500 0.000 0.500

Properties
energy relative to the elements, uncorrected	-825	meV per atom
M_tot	0.000	μB/cell
offset from the most stable computed form	0.0	meV/atom

=====

2.
A plane-wave DFT calculation with PBE-GGA was carried out for a relaxed ZrAl2Zn crystal.

a = 3.015 Å, b = 3.015 Å, c = 27.757 Å
α = 90.00°, β = 90.00°, γ = 120.00°
Element x y z (fractional)
Zr: 0.000 0.000 0.000
Zr: 0.333 0.667 0.667
Zr: 0.667 0.333 0.333
Al: 0.000 0.000 0.246
Al: 0.000 0.000 0.498
Al: 0.333 0.667 0.164
Al: 0.333 0.667 0.912
Al: 0.667 0.333 0.579
Al: 0.667 0.333 0.831
Zn: 0.000 0.000 0.755
Zn: 0.333 0.667 0.421
Zn: 0.667 0.333 0.088

Properties
M_tot	0.000	μB/cell
energy relative to the elements	-78	meV/atom

=====

3.
A plane-wave DFT calculation with PBE-GGA was carried out for a relaxed AlP2HO crystal.

a = 3.320 Å, b = 3.320 Å, c = 5.108 Å
α = 90.00°, β = 90.00°, γ = 90.00°
Element x y z (fractional)
Al: 0.000 0.000 0.000
P: 0.000 0.500 0.500
P: 0.500 0.000 0.500
H: 0.500 0.500 0.500
O: 0.500 0.500 0.000

Properties
M_tot	0.000	μB/cell
offset from the most stable computed form	0.0	meV/atom

=====

4.
A plane-wave DFT calculation with PBE-GGA was carried out for a relaxed ThSeO crystal.

a = 6.438 Å, b = 6.438 Å, c = 6.438 Å
α = 90.00°, β = 90.00°, γ = 90.00°
Element x y z (fractional)
Th: 0.000 0.000 0.000
Th: 0.000 0.500 0.500
Th: 0.500 0.000 0.500
Th: 0.500 0.500 0.000
Se: 0.250 0.250 0.250
Se: 0.250 0.750 0.750
Se: 0.750 0.250 0.750
Se: 0.750 0.750 0.250
O: 0.250 0.250 0.750
O: 0.250 0.750 0.250
O: 0.750 0.250 0.250
O: 0.750 0.750 0.750

Properties
energy relative to the elements, uncorrected	-2105	meV per atom
M_tot	0.000	μB/cell
offset from the most stable computed form	810.9	meV/atom